Entry 1:
The following is a PBE-GGA calculation of a geometry-optimized TaFeNi2 structure, from Alexandria via LeMat-Bulk.

a = 8.621 Å, b = 8.621 Å, c = 8.621 Å
α = 17.93°, β = 17.93°, γ = 17.93°
Last column: magnetic moment on the atom in μB.
Element x y z (fractional)
Fe  0.750  0.750  0.750  2.67
Ni  0.005  0.005  0.005  0.34
Ni  0.495  0.495  0.495  0.34
Ta  0.250  0.250  0.250  -0.10

Values from the calculation:
ΔH_f (0 K)   0.5 eV per formula unit
Symmetry   R-3m

=====

Entry 2:
The following is a PBE-GGA calculation of a geometry-optimized YCl6F2 structure, from Alexandria via LeMat-Bulk.

a = 9.406 Å, b = 9.406 Å, c = 3.522 Å
α = 80.14°, β = 80.14°, γ = 117.58°
Last column: magnetic moment on the atom in μB.
Element x y z (fractional)
Cl  0.825  0.391  0.894  0.01
Cl  0.711  0.711  0.268  0.29
Cl  0.289  0.289  0.732  0.29
Cl  0.609  0.175  0.106  0.01
Cl  0.175  0.609  0.106  0.01
Cl  0.391  0.825  0.894  0.01
Y  0.000  0.000  0.000  0.00
F  0.083  0.917  0.500  0.00
F  0.917  0.083  0.500  0.00

Values from the calculation:
Formation energy from raw total energies   -1.364 eV/atom
Symmetry   C2/m

=====

The records above give, respectively, calculated volume values of 13.250 28.965 Å³/atom.
The records above give, respectively, energy values of -0.5760 -0.2741 Ry per atom.